Record 1
Here is a relaxed structure of PmYLuIn from Alexandria via LeMat-Bulk. Energies are from PBE.

Geometry as POSCAR:
```
PmYLuIn
1.0
5.467 0.000 0.000
2.734 4.735 0.000
2.734 1.578 4.464
Y In Pm Lu
1 1 1 1
Direct
0.750 0.750 0.750
0.500 0.500 0.500
0.250 0.250 0.250
0.000 0.000 0.000
```

## Properties
total moment = 0.5 μB per cell
energy relative to the elements = -0.163 eV per atom
density of states at the Fermi level = 1.66 states/eV/atom
SG = F-43m
energy = -4.78 eV/atom

Record 2
Here is a relaxed structure of PmLuZnIn from Alexandria via LeMat-Bulk. Energies are from PBE.

Geometry as POSCAR:
```
PmLuZnIn
1.0
5.220 0.000 0.000
2.610 4.520 0.000
2.610 1.507 4.262
Lu In Zn Pm
1 1 1 1
Direct
0.250 0.250 0.250
0.500 0.500 0.500
0.000 0.000 0.000
0.750 0.750 0.750
```

## Properties
total moment = 0.0 μB per cell
energy relative to the elements = -0.373 eV per atom
density of states at the Fermi level = 0.92 states/eV/atom
SG = F-43m
energy = -3.69 eV/atom

Record 3
Here is a relaxed structure of PrLu2In from Alexandria via LeMat-Bulk. Energies are from PBE.

Geometry as POSCAR:
```
PrLu2In
1.0
-1.219 2.286 2.483
-3.192 -1.639 -0.057
2.771 -5.625 6.540
Pr Lu In
1 2 1
Direct
0.500 0.500 0.500
0.000 0.000 0.221
0.000 0.000 0.779
0.500 0.500 0.000
```

## Properties
total moment = 0.0 μB per cell
energy relative to the elements = -0.231 eV per atom
density of states at the Fermi level = 0.74 states/eV/atom
SG = P4/mmm
energy = -4.37 eV/atom